# 1
PBE CdSnSb2Te, optimized geometry; Fermi-level density of states = 4.699 states/eV/f.u.; ΔE_f (raw) = 0.593 eV/atom; space-group type = No. 123
1.0
5.459 0.000 0.000
0.000 5.459 0.000
0.000 0.000 5.712
Cd Sn Sb Te
1 1 2 1
Cartesian
0.000 0.000 0.000
2.730 2.730 2.856
0.000 2.730 0.000
2.730 0.000 0.000
0.000 0.000 2.856



# 2
PBE TlCdSnSb, optimized geometry; Fermi-level density of states = 3.877 states/eV/f.u.; ΔE_f (raw) = 0.124 eV/atom; space-group type = No. 216
1.0
0.000 3.848 3.848
3.848 0.000 3.848
3.848 3.848 0.000
Tl Cd Sn Sb
1 1 1 1
Cartesian
0.000 0.000 0.000
5.772 5.772 5.772
3.848 3.848 3.848
1.924 1.924 1.924



# 3
PBE Tl2CdSnSb2, optimized geometry; Fermi-level density of states = 2.522 states/eV/f.u.; ΔE_f (raw) = 0.005 eV/atom; space-group type = No. 72
1.0
-3.608 7.424 3.649
3.608 -7.424 3.649
3.608 7.424 -3.649
Tl Cd Sn Sb
4 2 2 4
Cartesian
1.758 2.485 0.000
1.758 -2.485 3.649
1.849 9.909 0.000
1.849 4.940 3.649
0.000 0.000 1.824
0.000 0.000 5.473
3.608 0.000 1.824
0.000 7.424 1.824
5.509 1.660 0.000
1.901 5.764 0.000
1.706 1.660 3.649
-1.901 5.764 3.649



Question: Among the records above, which one has the lowest ΔE_f (raw)?
Answer: Tl2CdSnSb2